# PdW3F

An optimized crystal structure of PdW3F (PBE with a Hubbard U, Alexandria via LeMat-Bulk).

Results
- SG = No. 221
- DFT total energy (eV per atom) = -4.16
- total magnetic moment (μB/f.u.) = 9.0

a = 5.131 Å, b = 5.131 Å, c = 5.131 Å
α = 90.00°, β = 90.00°, γ = 90.00°
Sites, in units of the cell vectors:
W 0.000 0.500 0.000
W 0.000 0.000 0.500
W 0.500 0.000 0.000
F 0.500 0.500 0.500
Pd 0.000 0.000 0.000